# 1
Density functional theory data (PBE) for an optimized crystal structure of CoCu2Ru.

extended XYZ file:
```
4
Lattice="4.130 0.000 0.000 0.000 4.130 0.000 0.000 0.000 2.919" Properties=species:S:1:pos:R:3 pbc="T T T"
Cu 2.065 2.065 0.000
Cu 0.000 0.000 0.000
Ru 2.065 0.000 1.459
Co 0.000 2.065 1.459
```

* density: 9.57 g/cm3
* symmetry: P4/mmm (123)
* density of states at the Fermi level: 1.157 states/eV/atom
* excess energy over the best structure of this formula in the dataset: 4.88 kcal/mol of atoms
* DFT formation energy: 367 meV/atom
* E_tot: -0.425 Ry/atom

***

# 2
Density functional theory data (PBE) for an optimized crystal structure of Zr2PaB2Ru5.

extended XYZ file:
```
20
Lattice="-1.329 -2.125 -2.065 6.721 -6.429 2.293 -5.588 -3.335 7.029" Properties=species:S:1:pos:R:3 pbc="T T T"
Pa 0.000 0.000 0.000
Pa 0.566 -4.882 4.661
B 3.789 -6.913 4.677
B 1.868 -2.840 1.720
B -2.657 -2.851 4.644
B -0.736 -6.925 7.601
Zr -2.421 -4.884 6.584
Zr 1.826 -7.569 6.615
Zr 3.554 -4.881 2.737
Zr -0.694 -2.196 2.706
Ru 1.805 -7.123 3.617
Ru -0.608 -9.156 7.261
Ru 2.696 -4.277 0.114
Ru -4.517 -4.134 4.608
Ru 0.644 -4.730 1.901
Ru -0.840 -7.159 5.356
Ru 4.321 -7.756 2.649
Ru -3.458 -2.730 2.482
Ru -2.001 -4.767 3.640
Ru 0.412 -2.734 -0.005
```

* density: 10.48 g/cm3
* symmetry: P4/mbm (127)
* density of states at the Fermi level: 0.526 states/eV/atom
* DFT formation energy: -571 meV/atom
* E_tot: -0.676 Ry/atom

***

> Look up the density of the second one.

10.48 g/cm3

***

> Among the records above, which one has the lowest density?

CoCu2Ru